AlCu6Au3 | PBE | relaxed

M_tot	0.0	Bohr magnetons per cell
energy	-76.730	eV/cell

a = 3.882 Å, b = 10.627 Å, c = 10.455 Å
α = 136.10°, β = 90.00°, γ = 90.00°
Element x y z (fractional)
Cu 0.250 0.766 0.910
Au 0.250 0.468 0.366
Au 0.250 0.974 0.785
Au 0.250 0.127 0.649
Au 0.750 0.026 0.215
Al 0.750 0.676 0.988
Cu 0.250 0.107 0.114
Cu 0.750 0.234 0.090
Cu 0.250 0.456 0.780
Cu 0.750 0.893 0.886
Au 0.750 0.532 0.634
Al 0.250 0.324 0.012
Cu 0.750 0.376 0.891
Au 0.750 0.873 0.351
Cu 0.250 0.624 0.109
Cu 0.750 0.235 0.568
Cu 0.250 0.273 0.442
Cu 0.750 0.727 0.558
Cu 0.750 0.544 0.220
Cu 0.250 0.765 0.432